Computed, not measured: GaW after structural relaxation at the PBE-GGA level of DFT.

a = 6.9972 Å, b = 6.9972 Å, c = 6.9972 Å
α = 109.47°, β = 109.47°, γ = 109.47°
Fractional coordinates of all 8 atoms:
Ga 0.0000 0.0000 0.5907
Ga 0.0000 0.5907 0.0000
Ga 0.4093 0.4093 0.4093
Ga 0.5907 0.0000 0.0000
W 0.0000 0.0000 0.2215
W 0.0000 0.2215 0.0000
W 0.2215 0.0000 0.0000
W 0.7785 0.7785 0.7785

Values from the calculation:
- Excess energy over the best structure of this formula in the dataset: 2.49 eV/f.u.
- Space group: I-43m
- N(E_F): 0.999 states/eV per atom
- Energy of formation from the pure elements: 269 kJ/mol of formula units



Computed, not measured: CaLaCe2Pt4 after structural relaxation at the PBE-GGA level of DFT.

a = 7.2516 Å, b = 5.8642 Å, c = 7.0152 Å
α = 67.85°, β = 48.50°, γ = 63.64°
Fractional coordinates of all 8 atoms:
Ca 0.0000 0.0000 0.0000
La 0.5771 0.5771 0.4229
Ce 0.3316 0.3316 0.1684
Ce 0.8316 0.8316 0.6684
Pt 0.0936 0.4865 0.9064
Pt 0.3270 0.8420 0.1580
Pt 0.4865 0.0936 0.5135
Pt 0.8420 0.3270 0.6730

Values from the calculation:
- Space group: Fmm2
- N(E_F): 1.530 states/eV per atom
- Energy of formation from the pure elements: -768 kJ/mol of formula units



Computed, not measured: Sm3Sn3Rh2 after structural relaxation at the PBE-GGA level of DFT.

a = 8.5047 Å, b = 15.3932 Å, c = 5.9409 Å
α = 90.00°, β = 90.00°, γ = 90.00°
Fractional coordinates of all 32 atoms:
Sm 0.0308 0.1118 0.1154
Sm 0.0308 0.3882 0.1154
Sm 0.1705 0.2500 0.6341
Sm 0.3295 0.7500 0.1341
Sm 0.4692 0.6118 0.6154
Sm 0.4692 0.8882 0.6154
Sm 0.5308 0.1118 0.3846
Sm 0.5308 0.3882 0.3846
Sm 0.6705 0.2500 0.8659
Sm 0.8295 0.7500 0.3659
Sm 0.9692 0.6118 0.8846
Sm 0.9692 0.8882 0.8846
Sn 0.1813 0.7500 0.6223
Sn 0.1909 0.0339 0.6128
Sn 0.1909 0.4661 0.6128
Sn 0.3091 0.5339 0.1128
Sn 0.3091 0.9661 0.1128
Sn 0.3187 0.2500 0.1223
Sn 0.6813 0.7500 0.8777
Sn 0.6909 0.0339 0.8872
Sn 0.6909 0.4661 0.8872
Sn 0.8091 0.5339 0.3872
Sn 0.8091 0.9661 0.3872
Sn 0.8187 0.2500 0.3777
Rh 0.0877 0.6100 0.3677
Rh 0.0877 0.8900 0.3677
Rh 0.4123 0.1100 0.8677
Rh 0.4123 0.3900 0.8677
Rh 0.5877 0.6100 0.1323
Rh 0.5877 0.8900 0.1323
Rh 0.9123 0.1100 0.6323
Rh 0.9123 0.3900 0.6323

Values from the calculation:
- Space group: Pnma
- N(E_F): 0.783 states/eV per atom
- Energy of formation from the pure elements: -616 kJ/mol of formula units



Computed, not measured: LaLu2P after structural relaxation at the PBE-GGA level of DFT.

a = 10.4748 Å, b = 10.4748 Å, c = 10.4748 Å
α = 20.13°, β = 20.13°, γ = 20.13°
Fractional coordinates of all 4 atoms:
La 0.0000 0.0000 0.0000
Lu 0.1143 0.1143 0.1143
Lu 0.8857 0.8857 0.8857
P 0.5000 0.5000 0.5000

Values from the calculation:
- Space group: R-3m
- N(E_F): 1.006 states/eV per atom
- Energy of formation from the pure elements: -211 kJ/mol of formula units



Computed, not measured: Ca6CeO8 after structural relaxation at the PBE-GGA level of DFT.

a = 6.8978 Å, b = 6.8978 Å, c = 6.8978 Å
α = 60.00°, β = 60.00°, γ = 60.00°
Fractional coordinates of all 15 atoms:
Ca 0.0000 0.0000 0.5000
Ca 0.0000 0.5000 0.0000
Ca 0.0000 0.5000 0.5000
Ca 0.5000 0.0000 0.0000
Ca 0.5000 0.0000 0.5000
Ca 0.5000 0.5000 0.0000
Ce 0.0000 0.0000 0.0000
O 0.2300 0.2300 0.7700
O 0.2300 0.7700 0.2300
O 0.2300 0.7700 0.7700
O 0.2500 0.2500 0.2500
O 0.7500 0.7500 0.7500
O 0.7700 0.2300 0.2300
O 0.7700 0.2300 0.7700
O 0.7700 0.7700 0.2300

Values from the calculation:
- ΔE_f (raw): -3.00 eV/atom
- Space group: Fm-3m
- N(E_F): 0.000 states/eV per atom



Computed, not measured: Ce2Cl4O after structural relaxation at the PBE-GGA level of DFT.

a = 11.7199 Å, b = 11.7199 Å, c = 3.5349 Å
α = 90.00°, β = 90.00°, γ = 90.00°
Fractional coordinates of all 14 atoms:
Ce 0.1041 0.1041 0.0000
Ce 0.3959 0.6041 0.5000
Ce 0.6041 0.3959 0.5000
Ce 0.8959 0.8959 0.0000
Cl 0.0618 0.2784 0.5000
Cl 0.2216 0.5618 0.0000
Cl 0.2784 0.0618 0.5000
Cl 0.4382 0.7784 0.0000
Cl 0.5618 0.2216 0.0000
Cl 0.7216 0.9382 0.5000
Cl 0.7784 0.4382 0.0000
Cl 0.9382 0.7216 0.5000
O 0.0000 0.0000 0.5000
O 0.5000 0.5000 0.0000

Values from the calculation:
- ΔE_f (raw): -2.31 eV/atom
- Space group: P4_2/mnm
- N(E_F): 1.255 states/eV per atom



Computed, not measured: Cs3AlBr6 after structural relaxation at the PBE-GGA level of DFT.

a = 11.2371 Å, b = 11.2371 Å, c = 8.5809 Å
α = 90.00°, β = 90.00°, γ = 99.35°
Fractional coordinates of all 20 atoms:
Cs 0.0765 0.9235 0.5000
Cs 0.1995 0.4015 0.5833
Cs 0.4015 0.1995 0.0833
Cs 0.5985 0.8005 0.5833
Cs 0.8005 0.5985 0.0833
Cs 0.9235 0.0765 0.0000
Al 0.3150 0.6850 0.1669
Al 0.6850 0.3150 0.6669
Br 0.1210 0.6205 0.2642
Br 0.1377 0.1988 0.2851
Br 0.1988 0.1377 0.7851
Br 0.3176 0.6824 0.8964
Br 0.3795 0.8790 0.2642
Br 0.4421 0.5579 0.2682
Br 0.5579 0.4421 0.7682
Br 0.6205 0.1210 0.7642
Br 0.6824 0.3176 0.3964
Br 0.8012 0.8623 0.2851
Br 0.8623 0.8012 0.7851
Br 0.8790 0.3795 0.7642

Values from the calculation:
- ΔE_f (raw): -1.54 eV/atom
- Space group: Cmc2_1
- N(E_F): 0.000 states/eV per atom



Computed, not measured: Ce4OsCCl2 after structural relaxation at the PBE-GGA level of DFT.

a = 6.7600 Å, b = 3.8615 Å, c = 7.5473 Å
α = 90.00°, β = 106.56°, γ = 90.00°
Fractional coordinates of all 8 atoms:
Ce 0.2184 0.0000 0.1949
Ce 0.2366 0.5000 0.7953
Ce 0.7634 0.5000 0.2047
Ce 0.7816 0.0000 0.8051
Os 0.5000 0.0000 0.0000
C 0.0000 0.5000 0.0000
Cl 0.0000 0.0000 0.5000
Cl 0.5000 0.5000 0.5000

Values from the calculation:
- ΔE_f (raw): -0.86 eV/atom
- Space group: P2/m
- N(E_F): 2.228 states/eV per atom



Computed, not measured: RbMn2S2 after structural relaxation at the PBE-GGA level of DFT.

a = 7.8424 Å, b = 7.8424 Å, c = 3.2732 Å
α = 90.00°, β = 90.00°, γ = 90.00°
Fractional coordinates of all 10 atoms:
Rb 0.0000 0.0000 0.0000
Rb 0.5000 0.5000 0.0000
Mn 0.0828 0.4172 0.0000
Mn 0.4172 0.9172 0.0000
Mn 0.5828 0.0828 0.0000
Mn 0.9172 0.5828 0.0000
S 0.1419 0.6419 0.5000
S 0.3581 0.1419 0.5000
S 0.6419 0.8581 0.5000
S 0.8581 0.3581 0.5000

Values from the calculation:
- ΔE_f (raw): 0.21 eV/atom
- Excess energy over the best structure of this formula in the dataset: 2.71 eV/f.u.
- Space group: P4/mbm
- N(E_F): 0.651 states/eV per atom



Computed, not measured: CeTmCdNi after structural relaxation at the PBE-GGA level of DFT.

a = 5.0770 Å, b = 5.0770 Å, c = 5.0770 Å
α = 60.00°, β = 60.00°, γ = 60.00°
Fractional coordinates of all 4 atoms:
Ce 0.0000 0.0000 0.0000
Tm 0.5000 0.5000 0.5000
Cd 0.7500 0.7500 0.7500
Ni 0.2500 0.2500 0.2500

Values from the calculation:
- Space group: F-43m
- N(E_F): 1.875 states/eV per atom
- Energy of formation from the pure elements: -60 kJ/mol of formula units



Computed, not measured: Bi2As2Pb after structural relaxation at the PBE-GGA level of DFT.

a = 7.8336 Å, b = 7.8336 Å, c = 7.8336 Å
α = 146.27°, β = 146.27°, γ = 48.44°
Fractional coordinates of all 5 atoms:
Bi 0.2500 0.7500 0.5000
Bi 0.7500 0.2500 0.5000
As 0.0866 0.0866 0.0000
As 0.9134 0.9134 0.0000
Pb 0.5000 0.5000 0.0000

Values from the calculation:
- Excess energy over the best structure of this formula in the dataset: 0.89 eV/f.u.
- Space group: I4/mmm
- N(E_F): 0.488 states/eV per atom
- Energy of formation from the pure elements: 106 kJ/mol of formula units



Computed, not measured: La3Te4Br after structural relaxation at the PBE-GGA level of DFT.

a = 16.4798 Å, b = 4.4065 Å, c = 14.4033 Å
α = 90.00°, β = 90.00°, γ = 90.00°
Fractional coordinates of all 32 atoms:
La 0.1191 0.2500 0.2496
La 0.1259 0.7500 0.5902
La 0.1329 0.2500 0.9261
La 0.3671 0.7500 0.4261
La 0.3741 0.2500 0.0902
La 0.3809 0.7500 0.7496
La 0.6191 0.2500 0.2504
La 0.6259 0.7500 0.9098
La 0.6329 0.2500 0.5739
La 0.8671 0.7500 0.0739
La 0.8741 0.2500 0.4098
La 0.8809 0.7500 0.7504
Te 0.0240 0.7500 0.3875
Te 0.0727 0.7500 0.0808
Te 0.2166 0.2500 0.4519
Te 0.2329 0.2500 0.7227
Te 0.2671 0.7500 0.2227
Te 0.2834 0.7500 0.9519
Te 0.4273 0.2500 0.5808
Te 0.4760 0.2500 0.8875
Te 0.5240 0.7500 0.1125
Te 0.5727 0.7500 0.4192
Te 0.7166 0.2500 0.0481
Te 0.7329 0.2500 0.7773
Te 0.7671 0.7500 0.2773
Te 0.7834 0.7500 0.5481
Te 0.9273 0.2500 0.9192
Te 0.9760 0.2500 0.6125
Br 0.0681 0.7500 0.7973
Br 0.4319 0.2500 0.2973
Br 0.5681 0.7500 0.7027
Br 0.9319 0.2500 0.2027

Values from the calculation:
- ΔE_f (raw): -1.67 eV/atom
- Space group: Pnma
- N(E_F): 0.066 states/eV per atom



Computed, not measured: Li3TbTl3 after structural relaxation at the PBE-GGA level of DFT.

a = 7.1366 Å, b = 7.1366 Å, c = 7.1366 Å
α = 90.00°, β = 90.00°, γ = 90.00°
Fractional coordinates of all 14 atoms:
Li 0.0000 0.2500 0.5000
Li 0.0000 0.7500 0.5000
Li 0.2500 0.5000 0.0000
Li 0.5000 0.0000 0.2500
Li 0.5000 0.0000 0.7500
Li 0.7500 0.5000 0.0000
Tb 0.0000 0.0000 0.0000
Tb 0.5000 0.5000 0.5000
Tl 0.0000 0.5000 0.2500
Tl 0.0000 0.5000 0.7500
Tl 0.2500 0.0000 0.5000
Tl 0.5000 0.2500 0.0000
Tl 0.5000 0.7500 0.0000
Tl 0.7500 0.0000 0.5000

Values from the calculation:
- Space group: Pm-3n
- N(E_F): 0.534 states/eV per atom
- Energy of formation from the pure elements: 139 kJ/mol of formula units



Computed, not measured: TlAg2HgBr4 after structural relaxation at the PBE-GGA level of DFT.

a = 8.4884 Å, b = 8.4827 Å, c = 6.5191 Å
α = 67.46°, β = 67.36°, γ = 45.18°
Fractional coordinates of all 8 atoms:
Tl 0.0000 0.0000 0.0000
Ag 0.2499 0.2499 0.2501
Ag 0.7499 0.7499 0.7501
Hg 0.4999 0.4999 0.5001
Br 0.1184 0.5852 0.4148
Br 0.4151 0.8817 0.5849
Br 0.5852 0.1184 0.8816
Br 0.8817 0.4151 0.1183

Values from the calculation:
- ΔE_f (raw): -0.37 eV/atom
- Space group: Fmm2
- N(E_F): 0.663 states/eV per atom



Computed, not measured: SrGaAu4 after structural relaxation at the PBE-GGA level of DFT.

a = 4.8340 Å, b = 4.8340 Å, c = 7.5314 Å
α = 90.00°, β = 90.00°, γ = 90.00°
Fractional coordinates of all 6 atoms:
Sr 0.0000 0.0000 0.0000
Ga 0.5000 0.5000 0.5000
Au 0.0000 0.5000 0.5000
Au 0.5000 0.0000 0.5000
Au 0.5000 0.5000 0.1734
Au 0.5000 0.5000 0.8266

Values from the calculation:
- Excess energy over the best structure of this formula in the dataset: 1.98 eV/f.u.
- Space group: P4/mmm
- N(E_F): 0.492 states/eV per atom
- Energy of formation from the pure elements: -54 kJ/mol of formula units



Computed, not measured: LiHg5 after structural relaxation at the PBE-GGA level of DFT.

a = 5.9191 Å, b = 5.9191 Å, c = 5.7026 Å
α = 90.00°, β = 90.00°, γ = 120.00°
Fractional coordinates of all 6 atoms:
Li 0.0000 0.0000 0.0000
Hg 0.0000 0.5000 0.5000
Hg 0.3333 0.6667 0.0000
Hg 0.5000 0.0000 0.5000
Hg 0.5000 0.5000 0.5000
Hg 0.6667 0.3333 0.0000

Values from the calculation:
- Excess energy over the best structure of this formula in the dataset: 0.79 eV/f.u.
- Space group: P6/mmm
- N(E_F): 0.254 states/eV per atom
- Energy of formation from the pure elements: 7 kJ/mol of formula units



Computed, not measured: PrYHo4 after structural relaxation at the PBE-GGA level of DFT.

a = 5.0237 Å, b = 6.1803 Å, c = 7.1312 Å
α = 106.73°, β = 90.00°, γ = 113.91°
Fractional coordinates of all 6 atoms:
Pr 0.0000 0.0000 0.0000
Y 0.0000 0.0000 0.5000
Ho 0.3319 0.6634 0.6650
Ho 0.3332 0.6661 0.1672
Ho 0.6668 0.3339 0.8328
Ho 0.6681 0.3366 0.3350

Values from the calculation:
- Excess energy over the best structure of this formula in the dataset: 0.07 eV/f.u.
- Space group: P-1
- N(E_F): 1.372 states/eV per atom
- Energy of formation from the pure elements: 14 kJ/mol of formula units



Computed, not measured: ZrAlTlSn2 after structural relaxation at the PBE-GGA level of DFT.

a = 5.5223 Å, b = 5.5223 Å, c = 5.5867 Å
α = 90.00°, β = 90.00°, γ = 90.00°
Fractional coordinates of all 5 atoms:
Zr 0.0000 0.0000 0.0000
Al 0.5000 0.5000 0.0000
Tl 0.0000 0.0000 0.5000
Sn 0.0000 0.5000 0.5000
Sn 0.5000 0.0000 0.5000

Values from the calculation:
- Space group: P4/mmm
- N(E_F): 0.975 states/eV per atom
- Energy of formation from the pure elements: 529 kJ/mol of formula units



Computed, not measured: LiHfSe2 after structural relaxation at the PBE-GGA level of DFT.

a = 4.7312 Å, b = 4.7312 Å, c = 4.7312 Å
α = 60.00°, β = 60.00°, γ = 60.00°
Fractional coordinates of all 4 atoms:
Li 0.0000 0.0000 0.0000
Hf 0.5000 0.5000 0.5000
Se 0.2500 0.2500 0.2500
Se 0.7500 0.7500 0.7500

Values from the calculation:
- ΔE_f (raw): -0.84 eV/atom
- Space group: Fm-3m
- N(E_F): 0.939 states/eV per atom



Computed, not measured: NiSbN3 after structural relaxation at the PBE-GGA level of DFT.

a = 3.9991 Å, b = 3.9991 Å, c = 3.9991 Å
α = 90.00°, β = 90.00°, γ = 90.00°
Fractional coordinates of all 5 atoms:
Ni 0.0000 0.0000 0.0000
Sb 0.5000 0.5000 0.5000
N 0.0000 0.5000 0.5000
N 0.5000 0.0000 0.5000
N 0.5000 0.5000 0.0000

Values from the calculation:
- ΔE_f (raw): 1.89 eV/atom
- Space group: Pm-3m
- N(E_F): 1.166 states/eV per atom



Computed, not measured: Sr2CuAgAu6 after structural relaxation at the PBE-GGA level of DFT.

a = 7.1516 Å, b = 7.1516 Å, c = 7.1516 Å
α = 60.00°, β = 60.00°, γ = 60.00°
Fractional coordinates of all 10 atoms:
Sr 0.2500 0.2500 0.2500
Sr 0.7500 0.7500 0.7500
Cu 0.0000 0.0000 0.0000
Ag 0.5000 0.5000 0.5000
Au 0.2410 0.2410 0.7590
Au 0.2410 0.7590 0.2410
Au 0.2410 0.7590 0.7590
Au 0.7590 0.2410 0.2410
Au 0.7590 0.2410 0.7590
Au 0.7590 0.7590 0.2410

Values from the calculation:
- Space group: Fm-3m
- N(E_F): 0.252 states/eV per atom
- Energy of formation from the pure elements: -195 kJ/mol of formula units